Li2CoTc | PBE | relaxed

Cell lengths 3.924, 2.541, 5.399 Å; angles 76.79, 90.00, 90.00 degrees
Sites, in units of the cell vectors:
Co 0.500 0.953 0.709
Li 0.000 0.813 0.014
Li 0.500 0.202 0.223
Tc 0.000 0.531 0.554

Relative energy among the computed polymorphs, meV/atom: 0
Magnetic moment, μB/cell: 0.01
SG: Pm, No. 6
E_form, eV per formula unit: 0.68
Total DFT energy (no corrections), eV/atom: -5.15
D(E_F), states/eV/cell: 3.1